[1]
Density functional theory data (PBE) for YNi3 after structural relaxation.

a b c (Å): 4.0481 4.0481 13.5527
angles (deg): 90.00 90.00 120.00
Space group R-3m (No. 166, hexagonal axes)
Inequivalent atoms, fractional coordinates:
Y: 0.0000 0.0000 0.0000 (multiplicity 3)
Ni: 0.0000 0.0000 0.1981 (multiplicity 6)
Ni: 0.0000 0.0000 0.5000 (multiplicity 3)

Calculated values
* total DFT energy (no corrections): -74.95 eV/cell
* calculated formation energy: -0.293 eV per atom


[2]
Density functional theory data (PBE) for Mn2PtW2 after structural relaxation.

a b c (Å): 6.9678 6.9678 2.8937
angles (deg): 90.00 90.00 90.00
Space group P4/mbm (No. 127)
Inequivalent atoms, fractional coordinates:
Mn: 0.1338 0.3662 0.0000 (multiplicity 4)
Pt: 0.0000 0.0000 0.0000 (multiplicity 2)
W: 0.1639 0.6639 0.5000 (multiplicity 4)

Calculated values
* total DFT energy (no corrections): -99.44 eV/cell
* calculated formation energy: 0.113 eV per atom